No. 1
Here is AgHPt2 after structural relaxation from the Alexandria database. Energies are from PBE-GGA.

Properties
Relative energy among the computed polymorphs (meV per atom): 642
SG: No. 225

```
data_AgHPt2
_chemical_formula_sum 'Ag1 H1 Pt2'
_space_group_name_H-M_alt 'P 1'
_space_group_IT_number 1
_cell_length_a 4.3267
_cell_length_b 4.3267
_cell_length_c 4.3267
_cell_angle_alpha 60.00
_cell_angle_beta 60.00
_cell_angle_gamma 60.00
loop_
_space_group_symop_operation_xyz
'x,y,z'
loop_
_atom_site_label
_atom_site_type_symbol
_atom_site_fract_x
_atom_site_fract_y
_atom_site_fract_z
H1 H 0.0000 0.0000 0.0000
Ag1 Ag 0.5000 0.5000 0.5000
Pt1 Pt 0.2500 0.2500 0.2500
Pt2 Pt 0.7500 0.7500 0.7500
```

No. 2
Here is Ag3H3Pt2 after structural relaxation from the Alexandria database. Energies are from PBE-GGA.

Properties
SG: No. 63

```
data_Ag3H3Pt2
_chemical_formula_sum 'Ag6 H6 Pt4'
_space_group_name_H-M_alt 'P 1'
_space_group_IT_number 1
_cell_length_a 3.6005
_cell_length_b 5.5265
_cell_length_c 11.0087
_cell_angle_alpha 90.00
_cell_angle_beta 90.00
_cell_angle_gamma 109.01
loop_
_space_group_symop_operation_xyz
'x,y,z'
loop_
_atom_site_label
_atom_site_type_symbol
_atom_site_fract_x
_atom_site_fract_y
_atom_site_fract_z
Ag1 Ag 0.9394 0.8788 0.3830
Ag2 Ag 0.0606 0.1212 0.8830
Ag3 Ag 0.9394 0.8788 0.1170
Ag4 Ag 0.0606 0.1212 0.6170
Ag5 Ag 0.5924 0.1848 0.2500
Ag6 Ag 0.4076 0.8152 0.7500
H1 H 0.7011 0.4022 0.4386
H2 H 0.2989 0.5978 0.9386
H3 H 0.7011 0.4022 0.0614
H4 H 0.2989 0.5978 0.5614
H5 H 0.2747 0.5494 0.2500
H6 H 0.7253 0.4506 0.7500
Pt1 Pt 0.7778 0.5556 0.9020
Pt2 Pt 0.2222 0.4444 0.4020
Pt3 Pt 0.7778 0.5556 0.5980
Pt4 Pt 0.2222 0.4444 0.0980
```

No. 3
Here is Ag2H3Pt after structural relaxation from the Alexandria database. Energies are from PBE-GGA.

Properties
SG: No. 2

```
data_Ag2H3Pt
_chemical_formula_sum 'Ag4 H6 Pt2'
_space_group_name_H-M_alt 'P 1'
_space_group_IT_number 1
_cell_length_a 5.1416
_cell_length_b 5.0134
_cell_length_c 7.3925
_cell_angle_alpha 68.46
_cell_angle_beta 68.60
_cell_angle_gamma 108.01
loop_
_space_group_symop_operation_xyz
'x,y,z'
loop_
_atom_site_label
_atom_site_type_symbol
_atom_site_fract_x
_atom_site_fract_y
_atom_site_fract_z
Ag1 Ag 0.2483 0.7120 0.5232
Ag2 Ag 0.3140 0.6841 0.9866
Ag3 Ag 0.6860 0.3159 0.0134
Ag4 Ag 0.7517 0.2880 0.4768
H1 H 0.7852 0.9300 0.7046
H2 H 0.2148 0.0700 0.2954
H3 H 0.2916 0.1628 0.5365
H4 H 0.2862 0.1639 0.8930
H5 H 0.7138 0.8361 0.1070
H6 H 0.7084 0.8372 0.4635
Pt1 Pt 0.9813 0.9793 0.1963
Pt2 Pt 0.0187 0.0207 0.8037
```

No. 4
Here is AgH12Pt6 after structural relaxation from the Alexandria database. Energies are from PBE-GGA.

Properties
SG: No. 148

```
data_AgH12Pt6
_chemical_formula_sum 'Ag1 H12 Pt6'
_space_group_name_H-M_alt 'P 1'
_space_group_IT_number 1
_cell_length_a 5.8655
_cell_length_b 6.0441
_cell_length_c 6.0441
_cell_angle_alpha 69.94
_cell_angle_beta 71.13
_cell_angle_gamma 108.87
loop_
_space_group_symop_operation_xyz
'x,y,z'
loop_
_atom_site_label
_atom_site_type_symbol
_atom_site_fract_x
_atom_site_fract_y
_atom_site_fract_z
Ag1 Ag 0.0000 0.0000 0.0000
H1 H 0.5269 0.9456 0.2818
H2 H 0.5813 0.7726 0.9456
H3 H 0.8086 0.2818 0.7726
H4 H 0.4731 0.0544 0.7182
H5 H 0.4187 0.2274 0.0544
H6 H 0.1914 0.7182 0.2274
H7 H 0.3656 0.5523 0.6574
H8 H 0.9770 0.3426 0.2098
H9 H 0.1867 0.2098 0.4477
H10 H 0.6344 0.4477 0.3426
H11 H 0.0230 0.6574 0.7902
H12 H 0.8133 0.7902 0.5523
Pt1 Pt 0.4186 0.5861 0.3095
Pt2 Pt 0.1675 0.8956 0.4139
Pt3 Pt 0.2719 0.6905 0.8956
Pt4 Pt 0.5814 0.4139 0.6905
Pt5 Pt 0.8325 0.1044 0.5861
Pt6 Pt 0.7281 0.3095 0.1044
```

No. 5
Here is Ag2H5Pt2 after structural relaxation from the Alexandria database. Energies are from PBE-GGA.

Properties
SG: No. 46

```
data_Ag2H5Pt2
_chemical_formula_sum 'Ag4 H10 Pt4'
_space_group_name_H-M_alt 'P 1'
_space_group_IT_number 1
_cell_length_a 8.0281
_cell_length_b 4.9774
_cell_length_c 7.1827
_cell_angle_alpha 110.27
_cell_angle_beta 123.98
_cell_angle_gamma 90.00
loop_
_space_group_symop_operation_xyz
'x,y,z'
loop_
_atom_site_label
_atom_site_type_symbol
_atom_site_fract_x
_atom_site_fract_y
_atom_site_fract_z
Ag1 Ag 0.9336 0.6445 0.1579
Ag2 Ag 0.0664 0.4866 0.8421
Ag3 Ag 0.7244 0.1445 0.1579
Ag4 Ag 0.2756 0.9866 0.8421
H1 H 0.6011 0.9022 0.2659
H2 H 0.3989 0.6363 0.7341
H3 H 0.1648 0.4022 0.2659
H4 H 0.8352 0.1363 0.7341
H5 H 0.1653 0.9942 0.2657
H6 H 0.8347 0.7285 0.7343
H7 H 0.6004 0.4942 0.2657
H8 H 0.3996 0.2285 0.7343
H9 H 0.9994 0.5636 0.5000
H10 H 0.0006 0.0636 0.5000
Pt1 Pt 0.0000 0.0658 0.0000
Pt2 Pt 0.5000 0.5658 0.0000
Pt3 Pt 0.1760 0.3143 0.5000
Pt4 Pt 0.8240 0.8143 0.5000
```

No. 6
Here is AgH3Pt after structural relaxation from the Alexandria database. Energies are from PBE-GGA.

Properties
Relative energy among the computed polymorphs (meV per atom): 38
SG: No. 14

```
data_AgH3Pt
_chemical_formula_sum 'Ag4 H12 Pt4'
_space_group_name_H-M_alt 'P 1'
_space_group_IT_number 1
_cell_length_a 4.3989
_cell_length_b 6.8078
_cell_length_c 7.1902
_cell_angle_alpha 119.79
_cell_angle_beta 90.00
_cell_angle_gamma 90.00
loop_
_space_group_symop_operation_xyz
'x,y,z'
loop_
_atom_site_label
_atom_site_type_symbol
_atom_site_fract_x
_atom_site_fract_y
_atom_site_fract_z
Ag1 Ag 0.7528 0.0753 0.6608
Ag2 Ag 0.2472 0.9247 0.3392
Ag3 Ag 0.2528 0.4247 0.8392
Ag4 Ag 0.7472 0.5753 0.1608
H1 H 0.0757 0.6966 0.6005
H2 H 0.9243 0.3034 0.3995
H3 H 0.5757 0.8034 0.8995
H4 H 0.4243 0.1966 0.1005
H5 H 0.5691 0.6215 0.4619
H6 H 0.4309 0.3785 0.5381
H7 H 0.0691 0.8785 0.0381
H8 H 0.9309 0.1215 0.9619
H9 H 0.1972 0.5441 0.1684
H10 H 0.8028 0.4559 0.8316
H11 H 0.6972 0.9559 0.3316
H12 H 0.3028 0.0441 0.6684
Pt1 Pt 0.2566 0.4368 0.3450
Pt2 Pt 0.7434 0.5632 0.6550
Pt3 Pt 0.7566 0.0632 0.1550
Pt4 Pt 0.2434 0.9368 0.8450
```

No. 7
Here is AgH6Pt2 after structural relaxation from the Alexandria database. Energies are from PBE-GGA.

Properties
SG: No. 12

```
data_AgH6Pt2
_chemical_formula_sum 'Ag1 H6 Pt2'
_space_group_name_H-M_alt 'P 1'
_space_group_IT_number 1
_cell_length_a 4.1275
_cell_length_b 4.9945
_cell_length_c 5.0570
_cell_angle_alpha 119.59
_cell_angle_beta 92.54
_cell_angle_gamma 84.85
loop_
_space_group_symop_operation_xyz
'x,y,z'
loop_
_atom_site_label
_atom_site_type_symbol
_atom_site_fract_x
_atom_site_fract_y
_atom_site_fract_z
Ag1 Ag 0.5000 0.0000 0.0000
H1 H 0.2695 0.6244 0.0000
H2 H 0.2735 0.4080 0.3971
H3 H 0.2735 0.0109 0.6029
H4 H 0.7305 0.3756 0.0000
H5 H 0.7265 0.5920 0.6029
H6 H 0.7265 0.9891 0.3971
Pt1 Pt 0.5000 0.3350 0.6699
Pt2 Pt 0.5000 0.6650 0.3301
```

No. 8
Here is AgH3Pt after structural relaxation from the Alexandria database. Energies are from PBE-GGA.

Properties
Relative energy among the computed polymorphs (meV per atom): 6
SG: No. 63

```
data_AgH3Pt
_chemical_formula_sum 'Ag2 H6 Pt2'
_space_group_name_H-M_alt 'P 1'
_space_group_IT_number 1
_cell_length_a 2.8564
_cell_length_b 5.1069
_cell_length_c 7.4152
_cell_angle_alpha 90.00
_cell_angle_beta 101.11
_cell_angle_gamma 90.00
loop_
_space_group_symop_operation_xyz
'x,y,z'
loop_
_atom_site_label
_atom_site_type_symbol
_atom_site_fract_x
_atom_site_fract_y
_atom_site_fract_z
Ag1 Ag 0.9401 0.2500 0.8802
Ag2 Ag 0.0599 0.7500 0.1198
H1 H 0.6444 0.9337 0.2887
H2 H 0.3556 0.0663 0.7113
H3 H 0.3557 0.4336 0.7113
H4 H 0.6443 0.5664 0.2887
H5 H 0.1874 0.2500 0.3748
H6 H 0.8126 0.7500 0.6252
Pt1 Pt 0.6184 0.2500 0.2368
Pt2 Pt 0.3816 0.7500 0.7632
```

Asked for electronic total energy across the records above, the calculation gives -3.87 -3.75 -3.55 -4.09 -3.75 -3.66 -3.78 -3.69 eV per atom in order.